--- P ---
The following is a GGA-PBE calculation of MgTc2N after structural relaxation, from Alexandria.

Cell and atoms, written as POSCAR:
```
MgTc2N
1.0
-0.198 0.690 4.122
-1.902 3.429 1.458
-3.658 -0.329 2.003
N Tc Mg
1 2 1
direct
0.000 0.000 0.000
0.250 0.250 0.250
0.750 0.750 0.750
0.500 0.500 0.500
```

Results
ρ ... 7515 kg/m³
DOS at the Fermi energy ... 6.10 states/eV/f.u.
Symmetry ... Fm-3m



--- Q ---
The following is a GGA-PBE calculation of MgTc2N after structural relaxation, from Alexandria.

Cell and atoms, written as POSCAR:
```
MgTc2N
1.0
-3.729 5.699 0.160
-3.072 -1.847 -5.794
-5.036 0.821 -1.597
Mg N Tc
2 2 4
direct
0.000 0.000 0.000
0.750 0.250 0.500
0.500 0.500 0.000
0.250 0.750 0.500
0.375 0.485 0.750
0.515 0.125 0.250
0.875 0.765 0.750
0.235 0.625 0.250
```

Results
ρ ... 7226 kg/m³
DOS at the Fermi energy ... 3.87 states/eV/f.u.
Symmetry ... I-42d



Short version: P is the least stable of them.



--- P ---
The following is a GGA-PBE calculation of Mg3TcN after structural relaxation, from Alexandria.

Cell and atoms, written as POSCAR:
```
Mg3TcN
1.0
-0.900 1.511 3.885
1.218 -3.705 1.723
3.986 1.473 0.351
Mg N Tc
3 1 1
direct
0.000 0.000 0.500
0.000 0.500 0.000
0.500 0.000 0.000
0.000 0.000 0.000
0.500 0.500 0.500
```

Results
ρ ... 3960 kg/m³
DOS at the Fermi energy ... 5.20 states/eV/f.u.
Symmetry ... Pm-3m



--- Q ---
The following is a GGA-PBE calculation of Mg3TcN after structural relaxation, from Alexandria.

Cell and atoms, written as POSCAR:
```
Mg3TcN
1.0
5.091 0.000 0.000
0.000 5.091 0.000
0.000 0.000 5.091
Mg Tc N
3 1 1
direct
0.000 0.500 0.000
0.500 0.000 0.000
0.000 0.000 0.500
0.000 0.000 0.000
0.500 0.500 0.500
```

Results
ρ ... 2327 kg/m³
DOS at the Fermi energy ... 4.50 states/eV/f.u.
Symmetry ... Pm-3m



Short version: Q is the least stable of them.



--- P ---
The following is a GGA-PBE calculation of MgTcTe2N after structural relaxation, from Alexandria.

Cell and atoms, written as POSCAR:
```
MgTcTe2N
1.0
5.497 0.000 0.000
0.000 5.497 0.000
0.000 0.000 3.709
Te N Tc Mg
2 1 1 1
direct
0.000 0.500 0.000
0.500 0.000 0.000
0.000 0.000 0.500
0.000 0.000 0.000
0.500 0.500 0.500
```

Results
ρ ... 5802 kg/m³
DOS at the Fermi energy ... 2.07 states/eV/f.u.
Symmetry ... P4/mmm



--- Q ---
The following is a GGA-PBE calculation of MgTcTe2N after structural relaxation, from Alexandria.

Cell and atoms, written as POSCAR:
```
MgTcTe2N
1.0
5.505 0.000 0.000
0.000 5.505 0.000
0.000 0.000 3.804
Tc Mg N Te
1 1 1 2
direct
0.500 0.500 0.500
0.000 0.000 0.000
0.000 0.000 0.500
0.500 0.000 0.000
0.000 0.500 0.000
```

Results
ρ ... 5640 kg/m³
DOS at the Fermi energy ... 4.15 states/eV/f.u.
Symmetry ... P4/mmm



Short version: Q is the least stable of them.



--- P ---
The following is a GGA-PBE calculation of Mg2TeN after structural relaxation, from Alexandria.

Cell and atoms, written as POSCAR:
```
Mg2TeN
1.0
0.000 3.325 3.325
3.325 0.000 3.325
3.325 3.325 0.000
Mg Te N
2 1 1
direct
0.750 0.750 0.750
0.250 0.250 0.250
0.500 0.500 0.500
0.000 0.000 0.000
```

Results
ρ ... 4296 kg/m³
DOS at the Fermi energy ... 1.59 states/eV/f.u.
Symmetry ... Fm-3m



--- Q ---
The following is a GGA-PBE calculation of Mg2TeN after structural relaxation, from Alexandria.

Cell and atoms, written as POSCAR:
```
Mg2TeN
1.0
-0.345 -3.468 -4.808
5.549 -1.883 0.960
0.914 -6.267 0.787
Mg Te N
4 2 2
direct
0.266 0.625 0.250
0.484 0.125 0.250
0.375 0.516 0.750
0.875 0.734 0.750
0.750 0.250 0.500
0.000 0.000 0.000
0.500 0.500 0.000
0.250 0.750 0.500
```

Results
ρ ... 3728 kg/m³
DOS at the Fermi energy ... 5.15 states/eV/f.u.
Symmetry ... I-42d



Short version: P is the least stable of them.